DyLuCdSn after structural relaxation, computed with PBE. Values from VASP.

Quantum ESPRESSO input file:
```
&SYSTEM
  ibrav = 0, nat = 4, ntyp = 4
/
ATOMIC_SPECIES
Dy 162.50 Dy.upf
Lu 174.97 Lu.upf
Cd 112.41 Cd.upf
Sn 118.71 Sn.upf
CELL_PARAMETERS angstrom
0.0000 3.7065 3.7065
3.7065 0.0000 3.7065
3.7065 3.7065 0.0000
ATOMIC_POSITIONS angstrom
Dy 0.0000 0.0000 0.0000
Lu 3.7065 3.7065 3.7065
Cd 5.5597 5.5597 5.5597
Sn 1.8532 1.8532 1.8532
```

=====

Tb6Ce2NdEr3 after structural relaxation, computed with PBE. Values from VASP.

Quantum ESPRESSO input file:
```
&SYSTEM
  ibrav = 0, nat = 12, ntyp = 4
/
ATOMIC_SPECIES
Tb 158.93 Tb.upf
Ce 140.12 Ce.upf
Nd 144.24 Nd.upf
Er 167.26 Er.upf
CELL_PARAMETERS angstrom
3.0726 -5.3229 0.0000
3.0726 5.3229 0.0000
-2.0507 0.0000 11.5896
ATOMIC_POSITIONS angstrom
Tb -0.0136 1.7896 8.6767
Tb 1.0094 0.0000 2.9124
Tb -0.0136 -1.7896 8.6767
Tb 4.1082 1.7896 2.9128
Tb 3.0852 0.0000 8.6771
Tb 4.1082 -1.7896 2.9128
Ce 3.0726 3.5479 0.0000
Ce 3.0726 -3.5479 0.0000
Nd 3.0726 0.0000 0.0000
Er -1.0253 0.0000 5.7948
Er 2.0473 1.7714 5.7948
Er 2.0473 -1.7714 5.7948
```

=====

YBe2GaTc after structural relaxation, computed with PBE. Values from VASP.

Quantum ESPRESSO input file:
```
&SYSTEM
  ibrav = 0, nat = 5, ntyp = 4
/
ATOMIC_SPECIES
Y 88.91 Y.upf
Be 9.01 Be.upf
Ga 69.72 Ga.upf
Tc 98.00 Tc.upf
CELL_PARAMETERS angstrom
4.2061 0.0000 0.0000
0.0000 4.2061 0.0000
0.0000 0.0000 5.3372
ATOMIC_POSITIONS angstrom
Y 0.0000 0.0000 0.0000
Be 0.0000 2.1031 2.6686
Be 2.1031 0.0000 2.6686
Ga 0.0000 0.0000 2.6686
Tc 2.1031 2.1031 0.0000
```

=====

no.,formation enthalpy at 0 K (eV/f.u.),E_tot (eV for the cell shown)
1,-1.8,-15.85
2,0.6,-57.49
3,4.6,-22.70